1.
## CsLiMoPt (PBE)

Data for an optimized crystal structure of CsLiMoPt.

Output
mass density	9.28	g/cm³
E above lowest polymorph	0	meV per atom
total magnetic moment	0.0	μB/cell
electronic total energy	-3.93	eV per atom

POSCAR file:
```
CsLiMoPt
1.0
0.0000 3.3786 3.3786
3.3786 0.0000 3.3786
3.3786 3.3786 0.0000
Cs Li Mo Pt
1 1 1 1
direct
0.0000 0.0000 0.0000
0.2500 0.2500 0.2500
0.7500 0.7500 0.7500
0.5000 0.5000 0.5000
```

---

2.
## SrNi2P4 (PBE)

Data for an optimized crystal structure of SrNi2P4.

Output
mass density	4.62	g/cm³
total magnetic moment	0.0	μB/cell
electronic total energy	-5.57	eV per atom

POSCAR file:
```
SrNi2P4
1.0
0.0000 4.7873 9.4908
2.6006 0.0000 9.4908
2.6006 4.7873 0.0000
Sr Ni P
2 4 8
direct
0.1250 0.1250 0.1250
0.8750 0.8750 0.8750
0.2554 0.2554 0.4946
0.4946 0.4946 0.2554
0.5054 0.5054 0.7446
0.7446 0.7446 0.5054
0.1779 0.6854 0.1861
0.1861 0.4506 0.1779
0.3146 0.8221 0.5494
0.4506 0.1861 0.6854
0.5494 0.8139 0.3146
0.6854 0.1779 0.4506
0.8139 0.5494 0.8221
0.8221 0.3146 0.8139
```

---

3.
## YHoAg2Te4 (PBE)

Data for an optimized crystal structure of YHoAg2Te4.

Output
mass density	6.84	g/cm³
total magnetic moment	0.0	μB/cell
electronic total energy	-4.58	eV per atom

POSCAR file:
```
YHoAg2Te4
1.0
5.0185 -5.0299 0.0000
5.0185 5.0299 0.0000
0.0000 0.0000 4.7149
Y Ho Ag Te
1 1 2 4
direct
0.0000 0.0000 0.0000
0.5000 0.5000 0.3901
0.0000 0.5000 0.1956
0.5000 0.0000 0.1956
0.2024 0.7976 0.4866
0.2994 0.2994 0.9058
0.7006 0.7006 0.9058
0.7976 0.2024 0.4866
```

---

4.
## Lu2Ta4Ge3N3 (PBE)

Data for an optimized crystal structure of Lu2Ta4Ge3N3.

Output
mass density	12.32	g/cm³
total magnetic moment	0.0	μB/cell
electronic total energy	-8.75	eV per atom

POSCAR file:
```
Lu2Ta4Ge3N3
1.0
4.8847 -2.8394 0.0000
4.8847 2.8394 0.0000
-3.2496 0.0000 12.9643
Lu Ta Ge N
4 8 6 6
direct
0.0364 0.8730 0.6081
0.1270 0.9636 0.8919
0.8730 0.0364 0.1081
0.9636 0.1270 0.3919
0.1966 0.3630 0.0822
0.3089 0.4665 0.4181
0.3630 0.1966 0.5822
0.4665 0.3089 0.9181
0.5335 0.6911 0.0819
0.6370 0.8034 0.4178
0.6911 0.5335 0.5819
0.8034 0.6370 0.9178
0.0831 0.3164 0.7503
0.3164 0.0831 0.2503
0.4947 0.5053 0.7500
0.5053 0.4947 0.2500
0.6836 0.9169 0.7497
0.9169 0.6836 0.2497
0.0000 0.5000 0.5000
0.1574 0.6841 0.9999
0.3159 0.8426 0.5001
0.5000 0.0000 0.0000
0.6841 0.1574 0.4999
0.8426 0.3159 0.0001
```